# 1
PBE-GGA Sn2Ge2Sb, relaxed; E_tot = -20.52 eV for the cell shown; uncorrected formation energy = 0.17 eV/atom; ΔE to the lowest computed polymorph = 0 meV per atom; SG = I4/mmm, No. 139; size of the total moment = 0.0 μB/cell
1.0
3.889 0.000 0.000
0.000 3.889 0.000
1.944 1.944 8.343
Sb Ge Sn
1 2 2
Direct
0.000 0.000 0.000
0.250 0.750 0.500
0.750 0.250 0.500
0.394 0.394 0.212
0.606 0.606 0.788

---

# 2
PBE-GGA MgZn8Ni6, relaxed; E_tot = -48.25 eV for the cell shown; E_form = -119 meV per atom; SG = R-3, No. 148; size of the total moment = 0.0 μB/cell
1.0
-5.733 -2.705 0.817
-0.903 -2.033 5.992
-4.019 3.747 3.265
Ni Zn Mg
6 8 1
Direct
0.613 0.295 0.953
0.295 0.953 0.613
0.705 0.047 0.387
0.047 0.387 0.705
0.953 0.613 0.295
0.387 0.705 0.047
0.790 0.450 0.121
0.879 0.210 0.550
0.332 0.332 0.332
0.121 0.790 0.450
0.450 0.121 0.790
0.668 0.668 0.668
0.210 0.550 0.879
0.550 0.879 0.210
0.000 0.000 0.000

---

# 3
PBE-GGA Sc2SbAs, relaxed; E_tot = -26.02 eV for the cell shown; uncorrected formation energy = -1.15 eV/atom; SG = R-3m, No. 166; size of the total moment = 0.0 μB/cell
1.0
-3.363 -2.032 0.678
-0.879 -1.229 3.690
-4.644 4.634 2.596
Sc As Sb
2 1 1
Direct
0.493 0.493 0.522
0.007 0.007 0.978
0.750 0.750 0.750
0.250 0.250 0.250